[1]
# Rb8I3Cl4

A relaxed Rb8I3Cl4 crystal (PBE, the Alexandria database).

a = 14.216 Å, b = 14.236 Å, c = 10.022 Å
α = 90.00°, β = 134.62°, γ = 90.00°
Space group C2/m (No. 12)
One atom of each set of equivalent atoms:
1 Rb 0.000 0.241 0.000
2 Rb 0.000 0.242 0.500
3 Rb 0.228 0.000 0.977
4 Rb 0.236 0.000 0.483
5 I 0.000 0.500 0.000
6 I 0.250 0.250 0.000
7 Cl 0.000 0.000 0.000
8 Cl 0.000 0.000 0.500
9 Cl 0.250 0.250 0.500

[2]
# Rb4ICl2

A relaxed Rb4ICl2 crystal (PBE, the Alexandria database).

Calculated values
- Energy relative to the lowest polymorph listed for this composition: 200.2 meV per atom

a = 6.816 Å, b = 6.816 Å, c = 17.529 Å
α = 90.00°, β = 90.00°, γ = 90.00°
Space group I4/mmm (No. 139)
One atom of each set of equivalent atoms:
1 Rb 0.000 0.000 0.220
2 Rb 0.000 0.500 0.000
3 I 0.000 0.000 0.000
4 Cl 0.000 0.000 0.394

[3]
# Rb2ICl

A relaxed Rb2ICl crystal (PBE, the Alexandria database).

Calculated values
- Energy relative to the lowest polymorph listed for this composition: 68.7 meV per atom

a = 8.901 Å, b = 8.901 Å, c = 10.474 Å
α = 90.00°, β = 90.00°, γ = 90.00°
Space group I-42d (No. 122)
One atom of each set of equivalent atoms:
1 Rb 0.212 0.250 0.125
2 I 0.000 0.000 0.500
3 Cl 0.000 0.000 0.000

[4]
# Rb4ICl2

A relaxed Rb4ICl2 crystal (PBE, the Alexandria database).

Calculated values
- Energy relative to the lowest polymorph listed for this composition: 0.0 meV per atom

a = 4.9041 Å, b = 4.9041 Å, c = 49.7557 Å
α = 90.00°, β = 90.00°, γ = 120.00°
Space group R-3m (No. 166, hexagonal axes)
One atom of each set of equivalent atoms:
1 Rb 0.0000 0.0000 0.1229
2 Rb 0.0000 0.0000 0.2865
3 I 0.0000 0.0000 0.0000
4 Cl 0.0000 0.0000 0.4181

[5]
# Rb2I7Cl

A relaxed Rb2I7Cl crystal (PBE, the Alexandria database).

a = 8.738 Å, b = 8.738 Å, c = 12.237 Å
α = 90.00°, β = 90.00°, γ = 90.00°
Space group I4/mmm (No. 139)
One atom of each set of equivalent atoms:
1 Rb 0.000 0.500 0.250
2 I 0.000 0.000 0.000
3 I 0.000 0.000 0.248
4 I 0.243 0.243 0.000
5 Cl 0.000 0.000 0.500

[6]
# RbI2Cl2

A relaxed RbI2Cl2 crystal (PBE, the Alexandria database).

Calculated values
- Energy relative to the lowest polymorph listed for this composition: 38.7 meV per atom

a = 9.629 Å, b = 9.629 Å, c = 3.963 Å
α = 90.00°, β = 90.00°, γ = 90.00°
Space group P4/mbm (No. 127)
One atom of each set of equivalent atoms:
1 Rb 0.000 0.000 0.000
2 I 0.099 0.401 0.000
3 Cl 0.224 0.724 0.500

[7]
# RbICl4

A relaxed RbICl4 crystal (PBE, the Alexandria database).

Calculated values
- Energy relative to the lowest polymorph listed for this composition: 0.0 meV per atom

a = 16.172 Å, b = 7.935 Å, c = 7.980 Å
α = 90.00°, β = 119.56°, γ = 90.00°
Space group C2/c (No. 15)
One atom of each set of equivalent atoms:
1 Rb 0.000 0.249 0.250
2 I 0.250 0.250 0.000
3 Cl 0.122 0.408 0.714
4 Cl 0.125 0.088 0.039

[8]
# RbI2Cl2

A relaxed RbI2Cl2 crystal (PBE, the Alexandria database).

Calculated values
- Energy relative to the lowest polymorph listed for this composition: 29.8 meV per atom

a = 4.7291 Å, b = 4.7291 Å, c = 11.3362 Å
α = 90.00°, β = 90.00°, γ = 120.00°
Space group P-3m1 (No. 164)
One atom of each set of equivalent atoms:
1 Rb 0.0000 0.0000 0.0000
2 I 0.3333 0.6667 0.3942
3 Cl 0.3333 0.6667 0.1562

[9]
# RbICl

A relaxed RbICl crystal (PBE, the Alexandria database).

Calculated values
- Energy relative to the lowest polymorph listed for this composition: 150.2 meV per atom

a = 9.541 Å, b = 6.201 Å, c = 9.117 Å
α = 90.00°, β = 90.00°, γ = 90.00°
Space group P2_1/c (No. 14)
One atom of each set of equivalent atoms:
1 Rb 0.187 0.001 0.250
2 I 0.500 0.250 0.013
3 Cl 0.000 0.250 0.000

[10]
# RbI2Cl7

A relaxed RbI2Cl7 crystal (PBE, the Alexandria database).

a = 8.157 Å, b = 17.118 Å, c = 5.594 Å
α = 90.00°, β = 90.00°, γ = 90.00°
Space group Cmmm (No. 65)
One atom of each set of equivalent atoms:
1 Rb 0.000 0.000 0.000
2 I 0.000 0.348 0.500
3 Cl 0.000 0.351 0.000
4 Cl 0.000 0.500 0.500
5 Cl 0.194 0.141 0.500

[11]
# RbI2Cl2

A relaxed RbI2Cl2 crystal (PBE, the Alexandria database).

Calculated values
- Energy relative to the lowest polymorph listed for this composition: 0.0 meV per atom

a = 9.336 Å, b = 9.336 Å, c = 4.724 Å
α = 90.00°, β = 90.00°, γ = 90.00°
Space group P4/mbm (No. 127)
One atom of each set of equivalent atoms:
1 Rb 0.000 0.000 0.000
2 I 0.102 0.398 0.500
3 Cl 0.231 0.731 0.000

[12]
# Rb2ReI6Cl

A relaxed Rb2ReI6Cl crystal (PBE, the Alexandria database).

a = 8.813 Å, b = 8.813 Å, c = 11.278 Å
α = 90.00°, β = 90.00°, γ = 90.00°
Space group I4/mmm (No. 139)
One atom of each set of equivalent atoms:
1 Rb 0.000 0.500 0.250
2 Re 0.000 0.000 0.000
3 I 0.000 0.000 0.248
4 I 0.219 0.219 0.000
5 Cl 0.000 0.000 0.500

[13]
# Rb3ReI2Cl6

A relaxed Rb3ReI2Cl6 crystal (PBE, the Alexandria database).

a = 17.856 Å, b = 9.047 Å, c = 5.794 Å
α = 90.00°, β = 91.25°, γ = 90.00°
Space group C2/m (No. 12)
One atom of each set of equivalent atoms:
1 Rb 0.000 0.000 0.000
2 Rb 0.250 0.250 0.500
3 Re 0.000 0.500 0.500
4 I 0.200 0.000 0.978
5 Cl 0.060 0.316 0.286
6 Cl 0.100 0.500 0.760

[14]
# Rb2ReICl6

A relaxed Rb2ReICl6 crystal (PBE, the Alexandria database).

a = 11.487 Å, b = 11.487 Å, c = 11.487 Å
α = 90.00°, β = 90.00°, γ = 90.00°
Space group Fm-3m (No. 225)
One atom of each set of equivalent atoms:
1 Rb 0.250 0.250 0.250
2 Re 0.000 0.000 0.000
3 I 0.000 0.000 0.500
4 Cl 0.000 0.000 0.206

[15]
# Rb2ReI2Cl4

A relaxed Rb2ReI2Cl4 crystal (PBE, the Alexandria database).

a = 7.729 Å, b = 7.729 Å, c = 10.610 Å
α = 90.00°, β = 90.00°, γ = 90.00°
Space group I4/mmm (No. 139)
One atom of each set of equivalent atoms:
1 Rb 0.000 0.500 0.250
2 Re 0.000 0.000 0.000
3 I 0.000 0.000 0.260
4 Cl 0.218 0.218 0.000

[16]
# Rb2ReI4Cl2

A relaxed Rb2ReI4Cl2 crystal (PBE, the Alexandria database).

a = 13.433 Å, b = 8.146 Å, c = 8.213 Å
α = 90.00°, β = 127.14°, γ = 90.00°
Space group C2/m (No. 12)
One atom of each set of equivalent atoms:
1 Rb 0.249 0.000 0.285
2 Re 0.000 0.000 0.500
3 I 0.026 0.239 0.761
4 Cl 0.219 0.000 0.675

[17]
# Rb2RhI6Cl

A relaxed Rb2RhI6Cl crystal (PBE, the Alexandria database).

a = 8.647 Å, b = 8.647 Å, c = 11.079 Å
α = 90.00°, β = 90.00°, γ = 90.00°
Space group I4/mmm (No. 139)
One atom of each set of equivalent atoms:
1 Rb 0.000 0.500 0.250
2 Rh 0.000 0.000 0.000
3 I 0.000 0.000 0.252
4 I 0.218 0.218 0.000
5 Cl 0.000 0.000 0.500

[18]
# Rb2RuI2Cl4

A relaxed Rb2RuI2Cl4 crystal (PBE, the Alexandria database).

a = 7.716 Å, b = 7.716 Å, c = 10.213 Å
α = 90.00°, β = 90.00°, γ = 90.00°
Space group I4/mmm (No. 139)
One atom of each set of equivalent atoms:
1 Rb 0.000 0.500 0.250
2 Ru 0.000 0.000 0.000
3 I 0.000 0.000 0.265
4 Cl 0.216 0.216 0.000

[19]
# Rb2RuI6Cl

A relaxed Rb2RuI6Cl crystal (PBE, the Alexandria database).

a = 8.704 Å, b = 8.704 Å, c = 11.236 Å
α = 90.00°, β = 90.00°, γ = 90.00°
Space group I4/mmm (No. 139)
One atom of each set of equivalent atoms:
1 Rb 0.000 0.500 0.250
2 Ru 0.000 0.000 0.000
3 I 0.000 0.000 0.250
4 I 0.219 0.219 0.000
5 Cl 0.000 0.000 0.500

[20]
# Rb6SI2Cl

A relaxed Rb6SI2Cl crystal (PBE, the Alexandria database).

a = 8.977 Å, b = 12.981 Å, c = 9.447 Å
α = 90.00°, β = 90.00°, γ = 90.00°
Space group Pmmn (No. 59, origin choice 2)
One atom of each set of equivalent atoms:
1 Rb 0.002 0.250 0.024
2 Rb 0.021 0.750 0.430
3 Rb 0.250 0.006 0.777
4 S 0.250 0.250 0.783
5 I 0.250 0.556 0.166
6 Cl 0.250 0.750 0.711

[21]
# Rb2SbICl6

A relaxed Rb2SbICl6 crystal (PBE, the Alexandria database).

a = 8.145 Å, b = 8.145 Å, c = 11.510 Å
α = 90.00°, β = 90.00°, γ = 90.00°
Space group I4/mmm (No. 139)
One atom of each set of equivalent atoms:
1 Rb 0.000 0.500 0.250
2 Sb 0.000 0.000 0.000
3 I 0.000 0.000 0.500
4 Cl 0.000 0.000 0.218
5 Cl 0.217 0.217 0.000

[22]
# RbSb2ICl

A relaxed RbSb2ICl crystal (PBE, the Alexandria database).

Calculated values
- Energy relative to the lowest polymorph listed for this composition: 0.0 meV per atom

a = 5.270 Å, b = 5.270 Å, c = 7.924 Å
α = 90.00°, β = 90.00°, γ = 90.00°
Space group P4/mmm (No. 123)
One atom of each set of equivalent atoms:
1 Rb 0.000 0.000 0.000
2 Sb 0.000 0.500 0.500
3 I 0.500 0.500 0.000
4 Cl 0.500 0.500 0.500

Number 1: formation energy from raw total energies -1.580 eV per atom, raw total energy -2.90 eV/atom, total magnetic moment 0.78 μB/f.u.. Number 2: formation energy from raw total energies -1.304 eV per atom, raw total energy -2.61 eV/atom, total magnetic moment 0.00 μB/f.u.. Number 3: formation energy from raw total energies -1.638 eV per atom, raw total energy -2.97 eV/atom, total magnetic moment 0.00 μB/f.u.. Number 4: formation energy from raw total energies -1.505 eV per atom, raw total energy -2.81 eV/atom, total magnetic moment 0.00 μB/f.u.. Number 5: formation energy from raw total energies -0.507 eV per atom, raw total energy -1.97 eV/atom, total magnetic moment 0.00 μB/f.u.. Number 6: formation energy from raw total energies -0.566 eV per atom, raw total energy -2.12 eV/atom, total magnetic moment 0.00 μB/f.u.. Number 7: formation energy from raw total energies -0.843 eV per atom, raw total energy -2.49 eV/atom, total magnetic moment 0.00 μB/f.u.. Number 8: formation energy from raw total energies -0.574 eV per atom, raw total energy -2.13 eV/atom, total magnetic moment 0.00 μB/f.u.. Number 9: formation energy from raw total energies -1.135 eV per atom, raw total energy -2.59 eV/atom, total magnetic moment 0.21 μB/f.u.. Number 10: formation energy from raw total energies -0.457 eV per atom, raw total energy -2.16 eV/atom, total magnetic moment 0.00 μB/f.u.. Number 11: formation energy from raw total energies -0.604 eV per atom, raw total energy -2.16 eV/atom, total magnetic moment 1.00 μB/f.u.. Number 12: formation energy from raw total energies -0.523 eV per atom, raw total energy -3.08 eV/atom, total magnetic moment 3.01 μB/f.u.. Number 13: formation energy from raw total energies -1.114 eV per atom, raw total energy -3.58 eV/atom, total magnetic moment 1.96 μB/f.u.. Number 14: formation energy from raw total energies -0.981 eV per atom, raw total energy -3.68 eV/atom, total magnetic moment 2.00 μB/f.u.. Number 15: formation energy from raw total energies -1.072 eV per atom, raw total energy -3.84 eV/atom, total magnetic moment 3.00 μB/f.u.. Number 16: formation energy from raw total energies -0.860 eV per atom, raw total energy -3.56 eV/atom, total magnetic moment 2.99 μB/f.u.. Number 17: formation energy from raw total energies -0.620 eV per atom, raw total energy -2.66 eV/atom, total magnetic moment 0.29 μB/f.u.. Number 18: formation energy from raw total energies -1.020 eV per atom, raw total energy -3.43 eV/atom, total magnetic moment 2.00 μB/f.u.. Number 19: formation energy from raw total energies -0.551 eV per atom, raw total energy -2.79 eV/atom, total magnetic moment 2.19 μB/f.u.. Number 20: formation energy from raw total energies -1.196 eV per atom, raw total energy -2.68 eV/atom, total magnetic moment 0.00 μB/f.u.. Number 21: formation energy from raw total energies -1.098 eV per atom, raw total energy -2.97 eV/atom, total magnetic moment 0.00 μB/f.u.. Number 22: formation energy from raw total energies -0.010 eV per atom, raw total energy -2.53 eV/atom, total magnetic moment 0.00 μB/f.u..